## Ca3Si2SnPd9 (PBE)

Data for crystalline Ca3Si2SnPd9 at its relaxed geometry.

Values from the calculation:
The energy is -5.092 eV per atom. Its energy relative to the elements, uncorrected is -0.59 eV per atom.

Cell lengths 6.336, 6.336, 9.236 Å; angles 90.00, 90.00, 120.00 degrees
Atoms (fractional coordinates):
Ca  0.000  0.000  0.000
Ca  0.333  0.667  0.709
Ca  0.667  0.333  0.291
Si  0.333  0.667  0.164
Si  0.667  0.333  0.836
Sn  0.000  0.000  0.500
Pd  0.000  0.500  0.000
Pd  0.146  0.293  0.269
Pd  0.146  0.854  0.269
Pd  0.293  0.146  0.731
Pd  0.500  0.000  0.000
Pd  0.500  0.500  0.000
Pd  0.707  0.854  0.269
Pd  0.854  0.146  0.731
Pd  0.854  0.707  0.731